(1)
Co4C5 | Alexandria via LeMat-Bulk | PBE-GGA | optimized geometry; symmetry = P6_3/mcm, No. 193; energy relative to the elements = 12.3 eV per formula unit
1.0
5.817 0.000 0.000
-2.908 5.037 0.000
0.000 0.000 5.004
Co C
8 10
direct
0.437 0.000 0.250 Co
0.000 0.000 0.000 Co
0.000 0.563 0.750 Co
0.437 0.437 0.750 Co
0.563 0.563 0.250 Co
0.563 0.000 0.750 Co
0.000 0.437 0.250 Co
0.000 0.000 0.500 Co
0.333 0.667 0.500 C
0.667 0.333 0.500 C
0.000 0.744 0.250 C
0.333 0.667 0.000 C
0.744 0.000 0.250 C
0.667 0.333 0.000 C
0.256 0.000 0.750 C
0.744 0.744 0.750 C
0.000 0.256 0.750 C
0.256 0.256 0.250 C


(2)
Sr2GaRhO4 | Alexandria via LeMat-Bulk | PBE-GGA | optimized geometry; uncorrected formation energy = -1.811 eV/atom; symmetry = I-4, No. 82
1.0
-4.634 -0.324 2.705
3.142 -4.215 1.118
2.710 4.423 1.411
O Rh Ga Sr
4 1 1 2
direct
0.344 0.876 0.839 O
0.037 0.161 0.505 O
0.963 0.468 0.124 O
0.656 0.495 0.532 O
0.500 0.250 0.750 Rh
0.000 0.500 0.500 Ga
0.000 0.000 0.000 Sr
0.500 0.750 0.250 Sr


(3)
BaAgBi3 | Alexandria via LeMat-Bulk | PBE-GGA | optimized geometry; symmetry = Pm-3m, No. 221; energy relative to the elements = 5.0 eV per formula unit
1.0
6.390 0.000 0.000
0.000 6.390 0.000
0.000 0.000 6.390
Bi Ba Ag
3 1 1
direct
0.000 0.000 0.500 Bi
0.500 0.000 0.000 Bi
0.000 0.500 0.000 Bi
0.000 0.000 0.000 Ba
0.500 0.500 0.500 Ag


| no. | calculated total energy (eV per atom) | calculated density (g cm⁻³) |
| --- | --- | --- |
| 1 | -6.92 | 6.70 |
| 2 | -6.01 | 5.73 |
| 3 | -2.28 | 5.55 |